The following is a PBE-GGA calculation of a relaxed structure of K2Bi2Ir, from the Alexandria database.

Calculated values
Total magnetization ... 1.5 μB per formula unit
Formation enthalpy at 0 K ... 894.6 meV per atom
Mass density ... 7.0 g/cm³
Final energy ... -0.211 Ry/atom

Unit cell a=10.221 b=10.221 c=3.137 alpha=90.00 beta=90.00 gamma=90.00
Fractional coordinates of all 10 atoms:
K 0.117 0.383 0.000
K 0.383 0.883 0.000
K 0.617 0.117 0.000
K 0.883 0.617 0.000
Bi 0.185 0.685 0.500
Bi 0.315 0.185 0.500
Bi 0.685 0.815 0.500
Bi 0.815 0.315 0.500
Ir 0.000 0.000 0.000
Ir 0.500 0.500 0.000